# 1
First-principles (PBE) data for a geometry-optimized Rb2NaMoBr6 structure, as listed in Alexandria via LeMat-Bulk.

extended XYZ file:
```
10
Lattice="0.0000 5.5284 5.5284 5.5284 0.0000 5.5284 5.5284 5.5284 0.0000" Properties=species:S:1:pos:R:3 pbc="T T T"
Rb 2.7642 2.7642 2.7642
Rb 8.2926 8.2926 8.2926
Na 0.0000 0.0000 0.0000
Mo 5.5284 5.5284 5.5284
Br 5.5284 5.5284 2.9153
Br 5.5284 2.9153 5.5284
Br 8.1414 5.5284 5.5284
Br 2.9153 5.5284 5.5284
Br 5.5284 8.1414 5.5284
Br 5.5284 5.5284 8.1414
```

Calculated values
Theoretical density   3.78 g/cm³
V   337.9 Å³/cell
Polymorph energy (0 for the lowest one)   8 kJ/mol of formula units

---

# 2
First-principles (PBE) data for a geometry-optimized RbNaMoBr6 structure, as listed in Alexandria via LeMat-Bulk.

extended XYZ file:
```
18
Lattice="7.3745 0.0000 0.0000 -3.6873 6.3865 0.0000 0.0000 0.0000 14.6258" Properties=species:S:1:pos:R:3 pbc="T T T"
Rb 0.0000 0.0000 0.0000
Rb 0.0000 0.0000 7.3129
Na 0.0000 4.2577 3.6564
Na 3.6873 2.1288 10.9693
Mo 0.0000 4.2577 10.9693
Mo 3.6873 2.1288 3.6564
Br -1.1259 2.5019 9.4765
Br -2.0835 4.1605 12.4621
Br 1.1259 2.5019 12.4621
Br -0.9576 6.1106 9.4765
Br 2.7297 0.2759 2.1636
Br 1.6038 2.2260 5.1493
Br 2.0835 4.1605 9.4765
Br 0.9576 6.1106 12.4621
Br 4.6449 0.2759 5.1493
Br 2.5614 3.8846 2.1636
Br 5.7707 2.2260 2.1636
Br 4.8131 3.8846 5.1493
```

Calculated values
Theoretical density   3.30 g/cm³
Electronic total energy   -3.58 eV per atom
V   688.8 Å³/cell

---

# 3
First-principles (PBE) data for a geometry-optimized RbNa2MoBr8 structure, as listed in Alexandria via LeMat-Bulk.

extended XYZ file:
```
12
Lattice="6.2699 0.0000 0.0000 -0.3525 6.7686 0.0000 -0.0272 -0.0080 9.6735" Properties=species:S:1:pos:R:3 pbc="T T T"
Rb 0.0000 0.0000 0.0000
Na 2.9336 3.3787 7.1047
Na 2.9565 3.3819 2.5688
Mo -0.0136 -0.0040 4.8367
Br 1.3097 2.1857 4.8304
Br 1.1644 5.8348 3.0277
Br 1.1649 5.8451 6.6536
Br 1.3607 3.2969 9.6731
Br 4.5294 3.4637 0.0004
Br 4.7253 0.9155 3.0199
Br 4.7258 0.9258 6.6458
Br 4.5804 4.5749 4.8431
```

Calculated values
Theoretical density   3.51 g/cm³
Electronic total energy   -3.29 eV per atom
V   410.5 Å³/cell

---

# 4
First-principles (PBE) data for a geometry-optimized Rb2NaMoBr6 structure, as listed in Alexandria via LeMat-Bulk.

extended XYZ file:
```
20
Lattice="3.8508 2.2233 13.6017 -3.8508 2.2233 13.6017 0.0000 -4.4465 13.6017" Properties=species:S:1:pos:R:3 pbc="T T T"
Rb 0.0000 0.0000 5.3486
Rb 0.0000 0.0000 12.2996
Rb 0.0000 0.0000 28.5054
Rb 0.0000 0.0000 35.4565
Na 0.0000 0.0000 16.9153
Na 0.0000 0.0000 23.8898
Mo 0.0000 0.0000 0.0000
Mo 0.0000 0.0000 20.4025
Br -1.8625 -1.0753 18.8927
Br 0.0000 -2.3236 15.1305
Br -2.0123 1.1618 15.1305
Br -2.0123 -1.1618 25.6745
Br 0.0000 -2.1506 21.9124
Br -1.8625 1.0753 21.9124
Br 1.8625 -1.0753 18.8927
Br 0.0000 2.1506 18.8927
Br 2.0123 1.1618 15.1305
Br 2.0123 -1.1618 25.6745
Br 0.0000 2.3236 25.6745
Br 1.8625 1.0753 21.9124
```

Calculated values
Theoretical density   3.66 g/cm³
V   698.7 Å³/cell
Polymorph energy (0 for the lowest one)   0 kJ/mol of formula units